[1]
Compound: InCu2Sn2Pd5
Source: Alexandria
Functional: PBE
Structure: optimized geometry

Summary:
crystal system	tetragonal
Fermi-level density of states	4.78	states/eV/f.u.

abc: 9.328 9.328 3.920
angles: 90.00 90.00 90.00
Fractional positions:
In 0.000 0.000 0.000
In 0.500 0.500 0.000
Cu 0.127 0.373 0.000
Cu 0.373 0.873 0.000
Cu 0.627 0.127 0.000
Cu 0.873 0.627 0.000
Sn 0.166 0.666 0.000
Sn 0.334 0.166 0.000
Sn 0.666 0.834 0.000
Sn 0.834 0.334 0.000
Pd 0.000 0.500 0.500
Pd 0.104 0.186 0.500
Pd 0.186 0.896 0.500
Pd 0.314 0.396 0.500
Pd 0.396 0.686 0.500
Pd 0.500 0.000 0.500
Pd 0.604 0.314 0.500
Pd 0.686 0.604 0.500
Pd 0.814 0.104 0.500
Pd 0.896 0.814 0.500


[2]
Compound: Sr2InCuPd6
Source: Alexandria
Functional: PBE
Structure: optimized geometry

Summary:
crystal system	cubic
Fermi-level density of states	4.50	states/eV/f.u.

abc: 6.925 6.925 6.925
angles: 60.00 60.00 60.00
Fractional positions:
Sr 0.250 0.250 0.250
Sr 0.750 0.750 0.750
In 0.000 0.000 0.000
Cu 0.500 0.500 0.500
Pd 0.258 0.258 0.742
Pd 0.258 0.742 0.258
Pd 0.258 0.742 0.742
Pd 0.742 0.258 0.258
Pd 0.742 0.258 0.742
Pd 0.742 0.742 0.258


[3]
Compound: Sr2In2CuPd5
Source: Alexandria
Functional: PBE
Structure: optimized geometry

Summary:
crystal system	tetragonal
Fermi-level density of states	4.67	states/eV/f.u.

abc: 10.908 10.908 3.479
angles: 90.00 90.00 90.00
Fractional positions:
Sr 0.170 0.330 0.000
Sr 0.330 0.830 0.000
Sr 0.670 0.170 0.000
Sr 0.830 0.670 0.000
In 0.133 0.633 0.000
In 0.367 0.133 0.000
In 0.633 0.867 0.000
In 0.867 0.367 0.000
Cu 0.000 0.000 0.000
Cu 0.500 0.500 0.000
Pd 0.000 0.500 0.500
Pd 0.058 0.819 0.500
Pd 0.181 0.058 0.500
Pd 0.319 0.558 0.500
Pd 0.442 0.319 0.500
Pd 0.500 0.000 0.500
Pd 0.558 0.681 0.500
Pd 0.681 0.442 0.500
Pd 0.819 0.942 0.500
Pd 0.942 0.181 0.500


[4]
Compound: SrInCuPd
Source: Alexandria
Functional: PBE
Structure: optimized geometry

Summary:
crystal system	monoclinic
Fermi-level density of states	2.29	states/eV/f.u.

abc: 4.615 4.615 5.926
angles: 113.03 113.03 60.18
Fractional positions:
Sr 0.000 0.000 0.000
In 0.502 0.502 0.506
Cu 0.808 0.808 0.424
Pd 0.195 0.195 0.585


[5]
Compound: Sr2InCu2Pd5
Source: Alexandria
Functional: PBE
Structure: optimized geometry

Summary:
crystal system	tetragonal
Fermi-level density of states	3.41	states/eV/f.u.

abc: 9.847 9.847 3.906
angles: 90.00 90.00 90.00
Fractional positions:
Sr 0.177 0.323 0.000
Sr 0.323 0.823 0.000
Sr 0.677 0.177 0.000
Sr 0.823 0.677 0.000
In 0.000 0.000 0.000
In 0.500 0.500 0.000
Cu 0.120 0.620 0.000
Cu 0.380 0.120 0.000
Cu 0.620 0.880 0.000
Cu 0.880 0.380 0.000
Pd 0.000 0.500 0.500
Pd 0.064 0.791 0.500
Pd 0.209 0.064 0.500
Pd 0.291 0.564 0.500
Pd 0.436 0.291 0.500
Pd 0.500 0.000 0.500
Pd 0.564 0.709 0.500
Pd 0.709 0.436 0.500
Pd 0.791 0.936 0.500
Pd 0.936 0.209 0.500


[6]
Compound: SrIn4CuPd2
Source: Alexandria
Functional: PBE
Structure: optimized geometry

Summary:
crystal system	trigonal
Fermi-level density of states	3.03	states/eV/f.u.

abc: 10.222 10.222 10.222
angles: 26.08 26.08 26.08
Fractional positions:
Sr 0.000 0.000 0.000
In 0.133 0.133 0.133
In 0.405 0.405 0.405
In 0.595 0.595 0.595
In 0.867 0.867 0.867
Cu 0.500 0.500 0.500
Pd 0.230 0.230 0.230
Pd 0.770 0.770 0.770


[7]
Compound: TaInCuPd
Source: Alexandria
Functional: PBE
Structure: optimized geometry

Summary:
crystal system	cubic
Fermi-level density of states	2.38	states/eV/f.u.

abc: 4.542 4.542 4.542
angles: 60.00 60.00 60.00
Fractional positions:
Ta 0.000 0.000 0.000
In 0.500 0.500 0.500
Cu 0.750 0.750 0.750
Pd 0.250 0.250 0.250


[8]
Compound: TbInCuPd
Source: Alexandria
Functional: PBE
Structure: optimized geometry

Summary:
crystal system	cubic
Fermi-level density of states	3.03	states/eV/f.u.

abc: 4.784 4.784 4.784
angles: 60.00 60.00 60.00
Fractional positions:
Tb 0.000 0.000 0.000
In 0.500 0.500 0.500
Cu 0.250 0.250 0.250
Pd 0.750 0.750 0.750


The ΔH_f (0 K) results, record by record, are as follows: -0.283, -0.111, -0.394, -0.414, -0.473, -0.360, -0.052, -0.540 eV/atom.
The DFT total energy results, record by record, are as follows: -4.7730, -4.2464, -4.2843, -3.8412, -4.4993, -3.7493, -6.0220, -4.7043 eV per atom.